Entry 1:
## Pr2DyAg5 (GGA-PBE)

Data for a geometry-optimized Pr2DyAg5 structure.

abc: 8.111 8.111 8.111
angles: 142.91 142.91 53.46
Fractional positions:
Pr: 0.229 0.229 0.000
Pr: 0.771 0.771 0.000
Dy: 0.500 0.500 0.000
Ag: 0.000 0.000 0.000
Ag: 0.110 0.610 0.500
Ag: 0.390 0.890 0.500
Ag: 0.610 0.110 0.500
Ag: 0.890 0.390 0.500

The electronic total energy comes out at -3.75 eV/atom. Its formation energy is -1.600 eV per formula unit. As for the density of states at the Fermi level: 6.20 states/eV per cell. The total magnetization comes out at 0.0 μB per formula unit.

=====

Entry 2:
## Pr2Dy2Ag3 (GGA-PBE)

Data for a geometry-optimized Pr2Dy2Ag3 structure.

abc: 5.134 5.146 9.041
angles: 73.66 73.64 60.12
Fractional positions:
Pr: 0.126 0.127 0.119
Pr: 0.874 0.873 0.881
Dy: 0.375 0.376 0.373
Dy: 0.625 0.624 0.627
Ag: 0.000 0.000 0.500
Ag: 0.255 0.255 0.734
Ag: 0.745 0.745 0.266

The electronic total energy comes out at -4.04 eV/atom. Its formation energy is -0.959 eV per formula unit. As for the density of states at the Fermi level: 8.46 states/eV per cell. The total magnetization comes out at 0.8 μB per formula unit.

=====

Entry 3:
## PrDy4Ag5 (GGA-PBE)

Data for a geometry-optimized PrDy4Ag5 structure.

abc: 3.631 3.631 18.645
angles: 90.00 90.00 90.00
Fractional positions:
Pr: 0.000 0.000 0.000
Dy: 0.000 0.000 0.205
Dy: 0.000 0.000 0.402
Dy: 0.000 0.000 0.598
Dy: 0.000 0.000 0.795
Ag: 0.500 0.500 0.111
Ag: 0.500 0.500 0.303
Ag: 0.500 0.500 0.500
Ag: 0.500 0.500 0.697
Ag: 0.500 0.500 0.889

The electronic total energy comes out at -4.05 eV/atom. Its formation energy is -3.097 eV per formula unit. As for the density of states at the Fermi level: 4.47 states/eV per cell. The total magnetization comes out at 0.0 μB per formula unit.